--- 1 ---
Here is a relaxed structure of KScCo2 from Alexandria via LeMat-Bulk. Energies are from PBE.

Structure (POSCAR):
```
KScCo2
1.0
-4.170 -1.629 1.223
-0.752 -1.415 4.355
-2.730 2.488 2.810
Co K Sc
2 1 1
direct
0.000 0.000 0.000
0.250 0.250 0.250
0.500 0.500 0.500
0.750 0.750 0.750
```

The space-group type is No. 216.

***

--- 2 ---
Here is a relaxed structure of KScCo2 from Alexandria via LeMat-Bulk. Energies are from PBE.

Structure (POSCAR):
```
KScCo2
1.0
5.435 0.015 -0.003
1.915 5.087 0.003
-2.813 -3.793 2.691
Co K Sc
2 1 1
direct
0.474 0.474 0.000
0.026 0.026 0.000
0.750 0.250 0.500
0.250 0.750 0.500
```

The space-group type is No. 71.

***

--- 3 ---
Here is a relaxed structure of KScCo2 from Alexandria via LeMat-Bulk. Energies are from PBE.

Structure (POSCAR):
```
KScCo2
1.0
-2.776 -1.414 1.505
1.045 -3.137 -1.019
3.872 -0.790 6.400
Co K Sc
2 1 1
direct
0.000 0.000 0.602
0.000 0.000 0.898
0.500 0.500 0.250
0.500 0.500 0.750
```

The space-group type is No. 123.

***

--- 4 ---
Here is a relaxed structure of KScCo2 from Alexandria via LeMat-Bulk. Energies are from PBE.

Structure (POSCAR):
```
KScCo2
1.0
3.224 0.000 0.000
0.000 3.224 0.000
0.000 0.000 8.520
K Co Sc
1 2 1
direct
0.000 0.000 0.445
0.500 0.500 0.141
0.000 0.000 0.050
0.500 0.500 0.865
```

The space-group type is No. 99.

***

It turns out 4 is the most stable, with the second structure 42 meV per atom higher.